VASP calculation (PBE-GGA) on a geometry-optimized TiZnAs2I structure.

Structure (CIF):
```
data_TiZnAs2I
_chemical_formula_sum 'Ti1 Zn1 As2 I1'
_cell_length_a 5.4803
_cell_length_b 5.4803
_cell_length_c 5.0140
_cell_angle_alpha 90.00
_cell_angle_beta 90.00
_cell_angle_gamma 90.00
_space_group_name_H-M_alt 'P 1'
_space_group_IT_number 1
loop_
_space_group_symop_operation_xyz
'x,y,z'
loop_
_atom_site_label
_atom_site_type_symbol
_atom_site_fract_x
_atom_site_fract_y
_atom_site_fract_z
Ti1 Ti 0.0000 0.0000 0.0000
Zn1 Zn 0.5000 0.5000 0.0000
As1 As 0.0000 0.5000 0.5000
As2 As 0.5000 0.0000 0.5000
I1 I 0.0000 0.0000 0.5000
```

## Properties
Magnetic moment, Bohr magnetons per cell: 0.00
Electronic total energy, eV/atom: -2.7142